Here is AcPrNiPb after structural relaxation from the Alexandria database. Energies are from PBE.

Cell: 5.5001 5.5001 5.5001 Å, 60.00 60.00 60.00°
Closest atoms and distances in Å follow each position.
Sites, in units of the cell vectors:
Pb: 0.7500 0.7500 0.7500  4 Ac 3.37, 4 Pr 3.37
Pr: 0.0000 0.0000 0.0000  4 Pb 3.37, 4 Ni 3.37
Ac: 0.5000 0.5000 0.5000  4 Ni 3.37, 4 Pb 3.37
Ni: 0.2500 0.2500 0.2500  4 Ac 3.37, 4 Pr 3.37

Calculated volume   29.41 A^3/atom
Formation energy from the elements   -0.81 eV per formula unit
Magnetization   0.00 μB per atom